# SrCd2Hg | the Alexandria database | PBEsol | relaxed
# **Final energy**: -5.87 eV/f.u.
# **DFT formation energy**: -266 meV per atom
# **Calculated volume**: 101.2 Å³/cell
# **Theoretical density**: 8.42 g/cm³
data_SrCd2Hg
_cell_length_a 3.6672
_cell_length_b 3.6672
_cell_length_c 7.5253
_cell_angle_alpha 90.00
_cell_angle_beta 90.00
_cell_angle_gamma 90.00
_space_group_name_H-M_alt 'P 4 m m'
_space_group_IT_number 99
loop_
_space_group_symop_operation_xyz
'x,y,z'
'-y,x,z'
'-x,-y,z'
'y,-x,z'
'-x,y,z'
'y,x,z'
'x,-y,z'
'-y,-x,z'
loop_
_atom_site_label
_atom_site_fract_x
_atom_site_fract_y
_atom_site_fract_z
_atom_site_occupancy
Sr1 0.0000 0.0000 0.0000 1
Cd1 0.0000 0.0000 0.5048 1
Cd2 0.5000 0.5000 0.2983 1
Hg1 0.5000 0.5000 0.7260 1

# SrCdHg | the Alexandria database | PBEsol | relaxed
# **Final energy**: -4.76 eV/f.u.
# **DFT formation energy**: -384 meV per atom
# **Calculated volume**: 162.3 Å³/cell
# **Theoretical density**: 8.20 g/cm³
data_SrCdHg
_cell_length_a 3.9454
_cell_length_b 3.9454
_cell_length_c 10.4275
_cell_angle_alpha 90.00
_cell_angle_beta 90.00
_cell_angle_gamma 90.00
_space_group_name_H-M_alt 'I 4 m m'
_space_group_IT_number 107
_space_group_name_Hall 'I 4 -2'
loop_
_atom_site_label
_atom_site_fract_x
_atom_site_fract_y
_atom_site_fract_z
_atom_site_occupancy
Sr1 0.0000 0.0000 0.0000 1
Cd1 0.0000 0.0000 0.3162 1
Hg1 0.0000 0.0000 0.6779 1

# Sr2CdHg2 | the Alexandria database | PBEsol | relaxed
# **Final energy**: -8.26 eV/f.u.
# **DFT formation energy**: -449 meV per atom
# **Calculated volume**: 297.2 Å³/cell
# **Theoretical density**: 7.70 g/cm³
data_Sr2CdHg2
_cell_length_a 8.2773
_cell_length_b 8.2773
_cell_length_c 4.3372
_cell_angle_alpha 90.00
_cell_angle_beta 90.00
_cell_angle_gamma 90.00
_space_group_name_H-M_alt 'P 4/m b m'
_space_group_IT_number 127
_space_group_name_Hall '-P 4 2ab'
loop_
_atom_site_label
_atom_site_fract_x
_atom_site_fract_y
_atom_site_fract_z
_atom_site_occupancy
Sr1 0.1721 0.3279 0.0000 1
Cd1 0.0000 0.0000 0.5000 1
Hg1 0.1298 0.6298 0.5000 1

# SrCd2Hg | the Alexandria database | PBEsol | relaxed
# **Final energy**: -5.87 eV/f.u.
# **DFT formation energy**: -266 meV per atom
# **Calculated volume**: 102.4 Å³/cell
# **Theoretical density**: 8.32 g/cm³
data_SrCd2Hg
_cell_length_a 3.6858
_cell_length_b 3.8510
_cell_length_c 7.2140
_cell_angle_alpha 90.00
_cell_angle_beta 90.16
_cell_angle_gamma 90.00
_space_group_name_H-M_alt 'P 1 m 1'
_space_group_IT_number 6
loop_
_space_group_symop_operation_xyz
'x,y,z'
'x,-y,z'
loop_
_atom_site_label
_atom_site_fract_x
_atom_site_fract_y
_atom_site_fract_z
_atom_site_occupancy
Sr1 0.0000 0.0000 0.0000 1
Cd1 0.0009 0.0000 0.5035 1
Cd2 0.5020 0.5000 0.2985 1
Hg1 0.4986 0.5000 0.7293 1

no.,total moment (μB/cell)
1,0.00
2,0.00
3,0.00
4,0.00